Record 1
SrMgGe at its PBEsol-relaxed geometry, computed with meta-GGA SCAN.

Computed properties:
As for the symmetry: Pnma, No. 62. The calculation puts the volume at 25.20 Å³/atom. For the density of states at the Fermi level, the calculation gives 0.01 states/eV/f.u. The value obtained for the calculated total energy is -16.036 eV per atom.

Cell lengths 7.773, 4.587, 8.480 Å; angles 90.00, 90.00, 90.00 degrees
Atoms (fractional coordinates):
Sr  0.015  0.250  0.183
Sr  0.485  0.750  0.683
Sr  0.515  0.250  0.317
Sr  0.985  0.750  0.817
Mg  0.144  0.250  0.564
Mg  0.356  0.750  0.064
Mg  0.644  0.250  0.936
Mg  0.856  0.750  0.436
Ge  0.221  0.750  0.389
Ge  0.279  0.250  0.889
Ge  0.721  0.750  0.111
Ge  0.779  0.250  0.611

Record 2
BaScTl2 at its PBEsol-relaxed geometry, computed with meta-GGA SCAN.

Computed properties:
As for the symmetry: P4/mmm, No. 123. The calculation puts the volume at 28.54 Å³/atom. For the density of states at the Fermi level, the calculation gives 2.63 states/eV/f.u. The value obtained for the calculated total energy is -50.135 eV per atom.

Cell lengths 3.776, 3.776, 8.006 Å; angles 90.00, 90.00, 90.00 degrees
Atoms (fractional coordinates):
Ba  0.000  0.000  0.000
Sc  0.000  0.000  0.500
Tl  0.500  0.500  0.300
Tl  0.500  0.500  0.700

Record 3
RbZr2TlSe at its PBEsol-relaxed geometry, computed with meta-GGA SCAN.

Computed properties:
As for the symmetry: P4/mmm, No. 123. The calculation puts the volume at 29.88 Å³/atom. The formation energy from raw total energies is 0.77 eV/f.u. For the density of states at the Fermi level, the calculation gives 3.53 states/eV/f.u.

Cell lengths 5.050, 5.050, 5.858 Å; angles 90.00, 90.00, 90.00 degrees
Atoms (fractional coordinates):
Rb  0.000  0.000  0.000
Zr  0.000  0.500  0.500
Zr  0.500  0.000  0.500
Tl  0.500  0.500  0.000
Se  0.000  0.000  0.500

Record 4
ZrMnFe2 at its PBEsol-relaxed geometry, computed with meta-GGA SCAN.

Computed properties:
As for the symmetry: P2/m, No. 10. The calculation puts the volume at 13.12 Å³/atom. For the density of states at the Fermi level, the calculation gives 4.59 states/eV/f.u. The value obtained for the calculated total energy is -21.113 eV per atom.

Cell lengths 2.678, 3.829, 5.285 Å; angles 90.00, 104.53, 90.00 degrees
Atoms (fractional coordinates):
Zr  0.000  0.000  0.000
Mn  0.500  0.000  0.500
Fe  0.259  0.500  0.705
Fe  0.741  0.500  0.295

Record 5
InCu2Cl at its PBEsol-relaxed geometry, computed with meta-GGA SCAN.

Computed properties:
As for the symmetry: Imm2, No. 44. The calculation puts the volume at 17.91 Å³/atom. The formation energy from raw total energies is 0.09 eV/f.u. For the density of states at the Fermi level, the calculation gives 0.96 states/eV/f.u.

Cell lengths 7.087, 7.087, 7.087 Å; angles 154.30, 152.31, 38.14 degrees
Atoms (fractional coordinates):
In  0.000  0.000  0.000
Cu  0.588  0.588  0.000
Cu  0.722  0.222  0.500
Cl  0.306  0.806  0.500

Record 6
YSiCl2 at its PBEsol-relaxed geometry, computed with meta-GGA SCAN.

Computed properties:
As for the symmetry: R3m, No. 160. The calculation puts the volume at 22.51 Å³/atom. The formation energy from raw total energies is -3.20 eV/f.u. For the density of states at the Fermi level, the calculation gives 2.45 states/eV/f.u. The value obtained for the energy above the lowest structure with this stoichiometry is 70 meV/atom.

Cell lengths 9.284, 9.284, 9.284 Å; angles 21.00, 21.00, 21.00 degrees
Atoms (fractional coordinates):
Y  0.000  0.000  0.000
Si  0.747  0.747  0.747
Cl  0.267  0.267  0.267
Cl  0.478  0.478  0.478